Below is crystalline PmSmSeI at its relaxed geometry, with properties calculated at the PBE level.

a b c (Å): 4.046 4.056 8.467
angles (deg): 89.98 103.77 120.00
Fractional coordinates of all 4 atoms:
Pm: 0.497 0.146 0.659
Sm: 0.109 0.953 0.078
Se: 0.303 0.550 0.868
I: 0.968 0.382 0.365

The density of states at the Fermi level is 0.82 states/eV per atom. The total magnetization comes out at 0.0 μB per formula unit. For the uncorrected formation energy, the calculation gives -1.314 eV/atom. The density comes out at 7.193 g/cm³.